## Ni2Pd6W (PBE)

Data for a geometry-optimized Ni2Pd6W structure.

Output
Its space-group type is C2/c. The crystal system is monoclinic. The value obtained for the mass density is 11.79 g/cm³. The calculation puts the energy above the lowest structure with this stoichiometry at 88 meV per atom. The formation energy is 0.062 eV/atom.

Cell and atoms, written as CIF:
```
data_Ni2Pd6W
_chemical_formula_sum 'Ni4 Pd12 W2'
_cell_length_a 4.717
_cell_length_b 7.710
_cell_length_c 7.710
_cell_angle_alpha 73.14
_cell_angle_beta 82.46
_cell_angle_gamma 82.46
_space_group_name_H-M_alt 'P 1'
_space_group_IT_number 1
loop_
_space_group_symop_operation_xyz
'x,y,z'
loop_
_atom_site_label
_atom_site_type_symbol
_atom_site_fract_x
_atom_site_fract_y
_atom_site_fract_z
Ni1 Ni 0.414 0.544 0.790
Ni2 Ni 0.086 0.210 0.456
Ni3 Ni 0.586 0.456 0.210
Ni4 Ni 0.914 0.790 0.544
Pd1 Pd 0.473 0.681 0.429
Pd2 Pd 0.027 0.571 0.319
Pd3 Pd 0.527 0.319 0.571
Pd4 Pd 0.973 0.429 0.681
Pd5 Pd 0.652 0.095 0.352
Pd6 Pd 0.848 0.648 0.905
Pd7 Pd 0.348 0.905 0.648
Pd8 Pd 0.152 0.352 0.095
Pd9 Pd 0.303 0.770 0.009
Pd10 Pd 0.197 0.991 0.230
Pd11 Pd 0.697 0.230 0.991
Pd12 Pd 0.803 0.009 0.770
W1 W 0.250 0.136 0.864
W2 W 0.750 0.864 0.136
```



## VNi2Ru (PBE)

Data for a geometry-optimized VNi2Ru structure.

Output
Its space-group type is P-6m2. The crystal system is hexagonal. The value obtained for the mass density is 6.72 g/cm³. The calculation puts the energy above the lowest structure with this stoichiometry at 1070 meV per atom. The formation energy is 0.868 eV/atom.

Cell and atoms, written as CIF:
```
data_VNi2Ru
_chemical_formula_sum 'V1 Ni2 Ru1'
_cell_length_a 4.391
_cell_length_b 4.185
_cell_length_c 4.185
_cell_angle_alpha 60.00
_cell_angle_beta 90.00
_cell_angle_gamma 90.00
_space_group_name_H-M_alt 'P 1'
_space_group_IT_number 1
loop_
_space_group_symop_operation_xyz
'x,y,z'
loop_
_atom_site_label
_atom_site_type_symbol
_atom_site_fract_x
_atom_site_fract_y
_atom_site_fract_z
V1 V 0.000 0.000 0.000
Ni1 Ni 0.500 0.000 0.000
Ni2 Ni 0.500 0.333 0.333
Ru1 Ru 0.500 0.667 0.667
```



## MgTc (PBE)

Data for a geometry-optimized MgTc structure.

Output
Its space-group type is P6_3/mmc. The crystal system is hexagonal. The value obtained for the mass density is 4.47 g/cm³. The calculation puts the energy above the lowest structure with this stoichiometry at 1841 meV per atom. The formation energy is 1.817 eV/atom.

Cell and atoms, written as CIF:
```
data_MgTc
_chemical_formula_sum 'Mg2 Tc2'
_cell_length_a 4.511
_cell_length_b 4.511
_cell_length_c 5.150
_cell_angle_alpha 90.00
_cell_angle_beta 90.00
_cell_angle_gamma 120.00
_space_group_name_H-M_alt 'P 1'
_space_group_IT_number 1
loop_
_space_group_symop_operation_xyz
'x,y,z'
loop_
_atom_site_label
_atom_site_type_symbol
_atom_site_fract_x
_atom_site_fract_y
_atom_site_fract_z
Mg1 Mg 0.333 0.667 0.250
Mg2 Mg 0.667 0.333 0.750
Tc1 Tc 0.333 0.667 0.750
Tc2 Tc 0.667 0.333 0.250
```



## LuHfRu4 (PBE)

Data for a geometry-optimized LuHfRu4 structure.

Output
Its space-group type is F-43m. The crystal system is cubic. The value obtained for the mass density is 12.43 g/cm³. The formation energy is -0.357 eV/atom.

Cell and atoms, written as CIF:
```
data_LuHfRu4
_chemical_formula_sum 'Lu1 Hf1 Ru4'
_cell_length_a 5.232
_cell_length_b 5.232
_cell_length_c 5.232
_cell_angle_alpha 60.00
_cell_angle_beta 60.00
_cell_angle_gamma 60.00
_space_group_name_H-M_alt 'P 1'
_space_group_IT_number 1
loop_
_space_group_symop_operation_xyz
'x,y,z'
loop_
_atom_site_label
_atom_site_type_symbol
_atom_site_fract_x
_atom_site_fract_y
_atom_site_fract_z
Ru1 Ru 0.625 0.625 0.126
Ru2 Ru 0.625 0.126 0.625
Ru3 Ru 0.625 0.625 0.625
Ru4 Ru 0.126 0.625 0.625
Lu1 Lu 0.000 0.000 0.000
Hf1 Hf 0.250 0.250 0.250
```



## Nd12Si3N5 (PBE)

Data for a geometry-optimized Nd12Si3N5 structure.

Output
For the uncorrected formation energy, the calculation gives -0.8274 eV per atom. Its space-group type is Ia-3d. The crystal system is cubic. The value obtained for the mass density is 6.30 g/cm³.

Cell and atoms, written as CIF:
```
data_Nd12Si3N5
_chemical_formula_sum 'Nd48 Si12 N20'
_cell_length_a 13.722
_cell_length_b 13.722
_cell_length_c 13.722
_cell_angle_alpha 109.47
_cell_angle_beta 109.47
_cell_angle_gamma 109.47
_space_group_name_H-M_alt 'P 1'
_space_group_IT_number 1
loop_
_space_group_symop_operation_xyz
'x,y,z'
loop_
_atom_site_label
_atom_site_type_symbol
_atom_site_fract_x
_atom_site_fract_y
_atom_site_fract_z
Si1 Si 0.750 0.375 0.125
Si2 Si 0.875 0.750 0.125
Si3 Si 0.375 0.750 0.625
Si4 Si 0.250 0.125 0.375
Si5 Si 0.875 0.125 0.250
Si6 Si 0.375 0.625 0.250
Si7 Si 0.625 0.375 0.750
Si8 Si 0.125 0.875 0.750
Si9 Si 0.750 0.875 0.625
Si10 Si 0.625 0.250 0.375
Si11 Si 0.125 0.250 0.875
Si12 Si 0.250 0.625 0.875
N1 N 0.125 0.375 0.250
N2 N 0.000 0.500 0.000
N3 N 0.000 0.000 0.000
N4 N 0.375 0.250 0.125
N5 N 0.500 0.000 0.500
N6 N 0.500 0.500 0.000
N7 N 0.125 0.750 0.375
N8 N 0.750 0.125 0.875
N9 N 0.750 0.625 0.375
N10 N 0.375 0.125 0.750
N11 N 0.625 0.875 0.250
N12 N 0.500 0.500 0.500
N13 N 0.500 0.000 0.000
N14 N 0.000 0.000 0.500
N15 N 0.250 0.375 0.625
N16 N 0.250 0.875 0.125
N17 N 0.000 0.500 0.500
N18 N 0.875 0.250 0.625
N19 N 0.625 0.750 0.875
N20 N 0.875 0.625 0.750
Nd1 Nd 0.704 0.117 0.022
Nd2 Nd 0.318 0.522 0.405
Nd3 Nd 0.978 0.383 0.296
Nd4 Nd 0.522 0.204 0.117
Nd5 Nd 0.587 0.704 0.682
Nd6 Nd 0.978 0.595 0.182
Nd7 Nd 0.318 0.796 0.413
Nd8 Nd 0.095 0.913 0.117
Nd9 Nd 0.595 0.978 0.682
Nd10 Nd 0.704 0.587 0.182
Nd11 Nd 0.796 0.478 0.383
Nd12 Nd 0.818 0.905 0.022
Nd13 Nd 0.117 0.704 0.522
Nd14 Nd 0.383 0.405 0.087
Nd15 Nd 0.087 0.905 0.383
Nd16 Nd 0.413 0.117 0.595
Nd17 Nd 0.087 0.182 0.204
Nd18 Nd 0.478 0.682 0.095
Nd19 Nd 0.818 0.913 0.296
Nd20 Nd 0.117 0.413 0.095
Nd21 Nd 0.383 0.978 0.796
Nd22 Nd 0.595 0.617 0.413
Nd23 Nd 0.905 0.818 0.522
Nd24 Nd 0.796 0.318 0.913
Nd25 Nd 0.405 0.383 0.587
Nd26 Nd 0.095 0.182 0.478
Nd27 Nd 0.204 0.682 0.087
Nd28 Nd 0.182 0.087 0.704
Nd29 Nd 0.617 0.022 0.204
Nd30 Nd 0.883 0.587 0.905
Nd31 Nd 0.522 0.318 0.905
Nd32 Nd 0.587 0.883 0.405
Nd33 Nd 0.913 0.818 0.796
Nd34 Nd 0.913 0.095 0.617
Nd35 Nd 0.883 0.296 0.478
Nd36 Nd 0.182 0.095 0.978
Nd37 Nd 0.617 0.595 0.913
Nd38 Nd 0.405 0.022 0.318
Nd39 Nd 0.296 0.413 0.818
Nd40 Nd 0.204 0.522 0.617
Nd41 Nd 0.905 0.087 0.883
Nd42 Nd 0.682 0.204 0.587
Nd43 Nd 0.478 0.796 0.883
Nd44 Nd 0.022 0.405 0.818
Nd45 Nd 0.413 0.296 0.318
Nd46 Nd 0.022 0.617 0.704
Nd47 Nd 0.682 0.478 0.595
Nd48 Nd 0.296 0.883 0.978
```



## AcTbYCd (PBE)

Data for a geometry-optimized AcTbYCd structure.

Output
Its space-group type is P4mm. The crystal system is tetragonal. The value obtained for the mass density is 7.57 g/cm³. The calculation puts the energy above the lowest structure with this stoichiometry at 0 meV per atom. The formation energy is -0.131 eV/atom.

Cell and atoms, written as CIF:
```
data_AcTbYCd
_chemical_formula_sum 'Ac1 Tb1 Y1 Cd1'
_cell_length_a 3.778
_cell_length_b 3.778
_cell_length_c 9.024
_cell_angle_alpha 90.00
_cell_angle_beta 90.00
_cell_angle_gamma 90.00
_space_group_name_H-M_alt 'P 1'
_space_group_IT_number 1
loop_
_space_group_symop_operation_xyz
'x,y,z'
loop_
_atom_site_label
_atom_site_type_symbol
_atom_site_fract_x
_atom_site_fract_y
_atom_site_fract_z
Ac1 Ac 0.000 0.000 0.072
Tb1 Tb 0.500 0.500 0.365
Y1 Y 0.500 0.500 0.776
Cd1 Cd 0.000 0.000 0.572
```



## Co2TeMoIr (PBE)

Data for a geometry-optimized Co2TeMoIr structure.

Output
For the uncorrected formation energy, the calculation gives 1.3346 eV per atom. Its space-group type is P4/mmm. The crystal system is tetragonal. The value obtained for the mass density is 9.30 g/cm³.

Cell and atoms, written as CIF:
```
data_Co2TeMoIr
_chemical_formula_sum 'Co2 Te1 Mo1 Ir1'
_cell_length_a 4.447
_cell_length_b 4.820
_cell_length_c 4.447
_cell_angle_alpha 90.00
_cell_angle_beta 90.00
_cell_angle_gamma 90.00
_space_group_name_H-M_alt 'P 1'
_space_group_IT_number 1
loop_
_space_group_symop_operation_xyz
'x,y,z'
loop_
_atom_site_label
_atom_site_type_symbol
_atom_site_fract_x
_atom_site_fract_y
_atom_site_fract_z
Co1 Co 0.000 0.000 0.500
Co2 Co 0.500 0.000 0.000
Mo1 Mo 0.000 0.000 0.000
Ir1 Ir 0.000 0.500 0.000
Te1 Te 0.500 0.500 0.500
```



## Pr2MnNi3P4 (PBE)

Data for a geometry-optimized Pr2MnNi3P4 structure.

Output
Its space-group type is P-4m2. The crystal system is tetragonal. The value obtained for the mass density is 6.79 g/cm³. The formation energy is -0.921 eV/atom.

Cell and atoms, written as CIF:
```
data_Pr2MnNi3P4
_chemical_formula_sum 'Pr2 Mn1 Ni3 P4'
_cell_length_a 4.077
_cell_length_b 4.077
_cell_length_c 9.372
_cell_angle_alpha 90.00
_cell_angle_beta 90.00
_cell_angle_gamma 90.00
_space_group_name_H-M_alt 'P 1'
_space_group_IT_number 1
loop_
_space_group_symop_operation_xyz
'x,y,z'
loop_
_atom_site_label
_atom_site_type_symbol
_atom_site_fract_x
_atom_site_fract_y
_atom_site_fract_z
Pr1 Pr 0.500 0.000 0.241
Pr2 Pr 0.000 0.500 0.759
Mn1 Mn 0.500 0.500 0.500
Ni1 Ni 0.000 0.000 0.500
Ni2 Ni 0.500 0.000 0.888
Ni3 Ni 0.000 0.500 0.112
P1 P 0.500 0.500 0.000
P2 P 0.000 0.000 0.000
P3 P 0.500 0.000 0.633
P4 P 0.000 0.500 0.367
```



## LaPm4Nd2Ho2 (PBE)

Data for a geometry-optimized LaPm4Nd2Ho2 structure.

Output
Its space-group type is C2/m. The crystal system is monoclinic. The value obtained for the mass density is 7.23 g/cm³. The formation energy is 0.020 eV/atom.

Cell and atoms, written as CIF:
```
data_LaPm4Nd2Ho2
_chemical_formula_sum 'La1 Pm4 Nd2 Ho2'
_cell_length_a 5.154
_cell_length_b 8.151
_cell_length_c 8.134
_cell_angle_alpha 107.57
_cell_angle_beta 90.00
_cell_angle_gamma 108.43
_space_group_name_H-M_alt 'P 1'
_space_group_IT_number 1
loop_
_space_group_symop_operation_xyz
'x,y,z'
loop_
_atom_site_label
_atom_site_type_symbol
_atom_site_fract_x
_atom_site_fract_y
_atom_site_fract_z
La1 La 0.000 0.000 0.000
Pm1 Pm 0.778 0.556 0.669
Pm2 Pm 0.222 0.444 0.331
Pm3 Pm 0.556 0.112 0.333
Pm4 Pm 0.444 0.888 0.667
Nd1 Nd 0.888 0.777 0.333
Nd2 Nd 0.112 0.223 0.667
Ho1 Ho 0.331 0.663 0.001
Ho2 Ho 0.669 0.337 0.999
```



## TlTe3Ir (PBE)

Data for a geometry-optimized TlTe3Ir structure.

Output
For the uncorrected formation energy, the calculation gives -0.1288 eV per atom. Its space-group type is C2/m. The crystal system is monoclinic. The value obtained for the mass density is 8.08 g/cm³. The calculation puts the energy above the lowest structure with this stoichiometry at 0 meV per atom.

Cell and atoms, written as CIF:
```
data_TlTe3Ir
_chemical_formula_sum 'Tl2 Te6 Ir2'
_cell_length_a 7.265
_cell_length_b 7.917
_cell_length_c 7.917
_cell_angle_alpha 133.85
_cell_angle_beta 78.47
_cell_angle_gamma 101.53
_space_group_name_H-M_alt 'P 1'
_space_group_IT_number 1
loop_
_space_group_symop_operation_xyz
'x,y,z'
loop_
_atom_site_label
_atom_site_type_symbol
_atom_site_fract_x
_atom_site_fract_y
_atom_site_fract_z
Tl1 Tl 0.746 0.704 0.296
Tl2 Tl 0.254 0.296 0.704
Te1 Te 0.712 0.662 0.831
Te2 Te 0.288 0.831 0.661
Te3 Te 0.288 0.338 0.169
Te4 Te 0.712 0.169 0.339
Te5 Te 0.188 0.861 0.140
Te6 Te 0.812 0.139 0.860
Ir1 Ir 0.000 0.000 0.000
Ir2 Ir 0.500 0.000 0.000
```



Question: The highest mass density belongs to which entry?
Answer: LuHfRu4



Please write out number 9 again, unchanged.
## LaPm4Nd2Ho2 (PBE)

Data for a geometry-optimized LaPm4Nd2Ho2 structure.

Output
Its space-group type is C2/m. The crystal system is monoclinic. The value obtained for the mass density is 7.23 g/cm³. The formation energy is 0.020 eV/atom.

Cell and atoms, written as CIF:
```
data_LaPm4Nd2Ho2
_chemical_formula_sum 'La1 Pm4 Nd2 Ho2'
_cell_length_a 5.154
_cell_length_b 8.151
_cell_length_c 8.134
_cell_angle_alpha 107.57
_cell_angle_beta 90.00
_cell_angle_gamma 108.43
_space_group_name_H-M_alt 'P 1'
_space_group_IT_number 1
loop_
_space_group_symop_operation_xyz
'x,y,z'
loop_
_atom_site_label
_atom_site_type_symbol
_atom_site_fract_x
_atom_site_fract_y
_atom_site_fract_z
La1 La 0.000 0.000 0.000
Pm1 Pm 0.778 0.556 0.669
Pm2 Pm 0.222 0.444 0.331
Pm3 Pm 0.556 0.112 0.333
Pm4 Pm 0.444 0.888 0.667
Nd1 Nd 0.888 0.777 0.333
Nd2 Nd 0.112 0.223 0.667
Ho1 Ho 0.331 0.663 0.001
Ho2 Ho 0.669 0.337 0.999
```



Question: Which of these has the lowest mass density?
Answer: MgTc



Question: Which value of mass density does entry 7 give?
Answer: 9.30 g/cm³